(w)
Compound: HoNi4B4
Source: Alexandria
Functional: PBE-GGA
Structure: optimized geometry

Cell and atoms, written as extended XYZ:
```
18
Lattice="5.041 0.000 0.000 0.000 5.041 0.000 0.000 0.000 7.040" Properties=species:S:1:pos:R:3 pbc="T T T"
Ho 1.260 3.781 1.760
Ho 3.781 1.260 5.280
Ni 0.002 1.260 0.814
Ni 5.039 3.781 6.226
Ni 1.260 0.002 4.334
Ni 1.260 2.518 4.334
Ni 2.518 1.260 0.814
Ni 2.522 3.781 6.226
Ni 3.781 5.039 2.706
Ni 3.781 2.522 2.706
B 0.399 1.260 2.887
B 1.260 0.399 6.407
B 1.260 2.122 6.407
B 2.122 1.260 2.887
B 2.919 3.781 4.153
B 3.781 2.919 0.633
B 3.781 4.642 0.633
B 4.642 3.781 4.153
```

Results
Spin magnetization (μB per formula unit): 0.00
Fermi-level density of states (states/eV per cell): 13.2
Space group: P4_2/nmc, No. 137
Theoretical density (Mg/m³): 8.22

(x)
Compound: HoNi4B4
Source: Alexandria
Functional: PBE-GGA
Structure: optimized geometry

Cell and atoms, written as extended XYZ:
```
18
Lattice="7.065 0.000 0.000 0.000 7.065 0.000 0.000 0.000 3.793" Properties=species:S:1:pos:R:3 pbc="T T T"
Ho 1.766 1.766 0.948
Ho 5.299 5.299 2.844
Ni 0.740 4.530 0.540
Ni 0.998 6.325 2.436
Ni 2.534 4.272 2.436
Ni 2.793 6.067 0.540
Ni 4.272 0.998 3.253
Ni 4.530 2.793 1.356
Ni 6.067 0.740 1.356
Ni 6.325 2.534 3.253
B 0.321 6.484 0.549
B 0.581 3.854 2.446
B 2.952 6.744 2.446
B 3.211 4.113 0.549
B 3.854 2.952 3.243
B 4.113 0.321 1.347
B 6.484 3.211 1.347
B 6.744 0.581 3.243
```

Results
Spin magnetization (μB per formula unit): 0.00
Fermi-level density of states (states/eV per cell): 9.8
Space group: P4_2/n, No. 86
Theoretical density (Mg/m³): 7.77

Comparing the structures above, (w) comes out on top by 0.027 eV/atom.